The following is a DFT calculation (PBE) of a geometry-optimized Rb2TbThSe4 structure.

```
Rb2TbThSe4
1.0
7.393 0.000 0.000
0.000 4.266 0.000
-2.449 0.000 8.078
Rb Tb Th Se
2 1 1 4
Direct
0.000 0.000 0.000
0.500 0.500 0.000
0.000 0.500 0.500
0.500 0.000 0.500
0.231 0.000 0.699
0.262 0.500 0.296
0.738 0.500 0.704
0.769 0.000 0.301
```

Properties
Total DFT energy (no corrections) (Ha/atom): -0.188
Calculated volume (Å³ per atom): 31.85
Energy relative to the elements, uncorrected (eV per atom): -1.6240
Crystal system: monoclinic
Density of states at the Fermi level (states/eV per cell): 4.3

---

The following is a DFT calculation (PBE) of a geometry-optimized Rb3TbTh2Se6 structure.

```
Rb3TbTh2Se6
1.0
3.695 -6.399 0.000
3.695 6.399 0.000
-2.464 0.000 8.115
Rb Tb Th Se
3 1 2 6
Direct
0.000 0.000 0.000
0.333 0.667 0.000
0.667 0.333 0.000
0.500 0.500 0.500
0.167 0.833 0.500
0.833 0.167 0.500
0.102 0.432 0.296
0.238 0.238 0.704
0.432 0.102 0.296
0.568 0.898 0.704
0.762 0.762 0.296
0.898 0.568 0.704
```

Properties
Total DFT energy (no corrections) (Ha/atom): -0.191
Calculated volume (Å³ per atom): 31.98
Energy relative to the elements, uncorrected (eV per atom): -1.5872
Crystal system: monoclinic
Density of states at the Fermi level (states/eV per cell): 7.3

---

The following is a DFT calculation (PBE) of a geometry-optimized Rb3Tb2ThSe6 structure.

```
Rb3Tb2ThSe6
1.0
3.693 -6.395 0.000
3.693 6.395 0.000
-2.464 0.000 8.050
Rb Tb Th Se
3 2 1 6
Direct
0.000 0.000 0.000
0.333 0.667 0.000
0.667 0.333 0.000
0.167 0.833 0.500
0.833 0.167 0.500
0.500 0.500 0.500
0.098 0.433 0.300
0.231 0.231 0.700
0.433 0.098 0.300
0.567 0.902 0.700
0.769 0.769 0.300
0.902 0.567 0.700
```

Properties
Total DFT energy (no corrections) (Ha/atom): -0.185
Calculated volume (Å³ per atom): 31.68
Energy relative to the elements, uncorrected (eV per atom): -1.6654
Crystal system: monoclinic
Density of states at the Fermi level (states/eV per cell): 4.5

---

The following is a DFT calculation (PBE) of a geometry-optimized Rb4TbTh3Se8 structure.

```
Rb4TbTh3Se8
1.0
4.264 2.462 8.141
-4.264 2.462 8.141
0.000 -4.924 8.141
Rb Tb Th Se
4 1 3 8
Direct
0.000 0.000 0.000
0.000 0.500 0.500
0.500 0.000 0.500
0.500 0.500 0.000
0.500 0.500 0.500
0.000 0.000 0.500
0.000 0.500 0.000
0.500 0.000 0.000
0.236 0.236 0.236
0.238 0.732 0.732
0.268 0.268 0.762
0.268 0.762 0.268
0.732 0.238 0.732
0.732 0.732 0.238
0.762 0.268 0.268
0.764 0.764 0.764
```

Properties
Total DFT energy (no corrections) (Ha/atom): -0.192
Calculated volume (Å³ per atom): 32.05
Energy relative to the elements, uncorrected (eV per atom): -1.5695
Crystal system: trigonal
Density of states at the Fermi level (states/eV per cell): 10.6

---

The following is a DFT calculation (PBE) of a geometry-optimized RbTbTiSe4 structure.

```
RbTbTiSe4
1.0
6.864 0.000 0.000
0.000 7.086 0.000
-3.021 0.000 9.042
Rb Tb Ti Se
2 2 2 8
Direct
0.241 0.250 0.441
0.759 0.750 0.559
0.287 0.250 0.955
0.713 0.750 0.045
0.266 0.750 0.166
0.734 0.250 0.834
0.052 0.750 0.919
0.060 0.750 0.323
0.489 0.506 0.797
0.489 0.994 0.797
0.511 0.006 0.203
0.511 0.494 0.203
0.940 0.250 0.677
0.948 0.250 0.081
```

Properties
Total DFT energy (no corrections) (Ha/atom): -0.197
Calculated volume (Å³ per atom): 31.42
Energy relative to the elements, uncorrected (eV per atom): -1.4391
Crystal system: monoclinic

---

The following is a DFT calculation (PBE) of a geometry-optimized Rb4Tb3TiSe8 structure.

```
Rb4Tb3TiSe8
1.0
4.175 2.411 7.980
-4.175 2.411 7.980
0.000 -4.821 7.980
Rb Tb Ti Se
4 3 1 8
Direct
0.000 0.000 0.000
0.000 0.500 0.500
0.500 0.000 0.500
0.500 0.500 0.000
0.000 0.000 0.500
0.000 0.500 0.000
0.500 0.000 0.000
0.500 0.500 0.500
0.233 0.233 0.233
0.248 0.721 0.721
0.279 0.279 0.752
0.279 0.752 0.279
0.721 0.248 0.721
0.721 0.721 0.248
0.752 0.279 0.279
0.767 0.767 0.767
```

Properties
Total DFT energy (no corrections) (Ha/atom): -0.180
Calculated volume (Å³ per atom): 30.12
Energy relative to the elements, uncorrected (eV per atom): -1.5629
Crystal system: trigonal
Density of states at the Fermi level (states/eV per cell): 5.7

---

The following is a DFT calculation (PBE) of a geometry-optimized Rb2Tb2TiSe6 structure.

```
Rb2Tb2TiSe6
1.0
3.520 -6.031 0.000
3.520 6.031 0.000
-2.469 0.000 8.176
Rb Tb Ti Se
2 2 1 6
Direct
0.173 0.827 0.000
0.827 0.173 0.000
0.333 0.667 0.500
0.667 0.333 0.500
0.000 0.000 0.500
0.068 0.373 0.688
0.239 0.239 0.314
0.373 0.068 0.688
0.627 0.932 0.312
0.761 0.761 0.686
0.932 0.627 0.312
```

Properties
Total DFT energy (no corrections) (Ha/atom): -0.190
Calculated volume (Å³ per atom): 31.56
Energy relative to the elements, uncorrected (eV per atom): -1.5359
Crystal system: monoclinic

---

The following is a DFT calculation (PBE) of a geometry-optimized Rb3Tb3TiSe8 structure.

```
Rb3Tb3TiSe8
1.0
4.113 2.375 8.177
-4.113 2.375 8.177
0.000 -4.749 8.177
Rb Tb Ti Se
3 3 1 8
Direct
0.000 0.500 0.500
0.500 0.000 0.500
0.500 0.500 0.000
0.000 0.000 0.500
0.000 0.500 0.000
0.500 0.000 0.000
0.500 0.500 0.500
0.233 0.233 0.233
0.255 0.715 0.715
0.285 0.285 0.745
0.285 0.745 0.285
0.715 0.255 0.715
0.715 0.715 0.255
0.745 0.285 0.285
0.767 0.767 0.767
```

Properties
Total DFT energy (no corrections) (Ha/atom): -0.187
Calculated volume (Å³ per atom): 31.94
Energy relative to the elements, uncorrected (eV per atom): -1.5848
Crystal system: trigonal

---

The following is a DFT calculation (PBE) of a geometry-optimized Rb3TbTm3Se8 structure.

```
Rb3TbTm3Se8
1.0
7.153 -4.128 0.000
7.153 4.128 0.000
-4.774 0.000 8.183
Rb Tb Tm Se
3 1 3 8
Direct
0.000 0.000 0.000
0.000 0.500 0.000
0.500 0.000 0.000
0.000 0.000 0.500
0.000 0.500 0.500
0.500 0.000 0.500
0.500 0.500 0.500
0.234 0.234 0.693
0.234 0.726 0.693
0.269 0.269 0.307
0.274 0.766 0.307
0.726 0.234 0.693
0.731 0.731 0.693
0.766 0.274 0.307
0.766 0.766 0.307
```

Properties
Total DFT energy (no corrections) (Ha/atom): -0.181
Calculated volume (Å³ per atom): 32.21
Energy relative to the elements, uncorrected (eV per atom): -1.6623
Crystal system: monoclinic
Density of states at the Fermi level (states/eV per cell): 8.4

---

The following is a DFT calculation (PBE) of a geometry-optimized Rb4Tb3TmSe8 structure.

```
Rb4Tb3TmSe8
1.0
4.243 2.450 7.995
-4.243 2.450 7.995
0.000 -4.899 7.995
Rb Tb Tm Se
4 3 1 8
Direct
0.000 0.000 0.000
0.000 0.500 0.500
0.500 0.000 0.500
0.500 0.500 0.000
0.000 0.000 0.500
0.000 0.500 0.000
0.500 0.000 0.000
0.500 0.500 0.500
0.232 0.232 0.232
0.235 0.730 0.730
0.270 0.270 0.765
0.270 0.765 0.270
0.730 0.235 0.730
0.730 0.730 0.235
0.765 0.270 0.270
0.768 0.768 0.768
```

Properties
Total DFT energy (no corrections) (Ha/atom): -0.179
Calculated volume (Å³ per atom): 31.16
Energy relative to the elements, uncorrected (eV per atom): -1.7376
Crystal system: trigonal
Density of states at the Fermi level (states/eV per cell): 0.0

---

The following is a DFT calculation (PBE) of a geometry-optimized Rb3TbTm2Se6 structure.

```
Rb3TbTm2Se6
1.0
3.650 -6.321 0.000
3.650 6.321 0.000
-2.434 0.000 7.988
Rb Tb Tm Se
3 1 2 6
Direct
0.000 0.000 0.000
0.334 0.666 0.000
0.666 0.334 0.000
0.500 0.500 0.500
0.167 0.833 0.500
0.833 0.167 0.500
0.098 0.435 0.306
0.227 0.227 0.694
0.435 0.098 0.306
0.565 0.902 0.694
0.773 0.773 0.306
0.902 0.565 0.694
```

Properties
Total DFT energy (no corrections) (Ha/atom): -0.178
Calculated volume (Å³ per atom): 30.71
Energy relative to the elements, uncorrected (eV per atom): -1.7301
Crystal system: monoclinic
Density of states at the Fermi level (states/eV per cell): 0.0

---

The following is a DFT calculation (PBE) of a geometry-optimized RbTb4TmSe8 structure.

```
RbTb4TmSe8
1.0
4.343 2.507 6.996
-4.343 2.507 6.996
0.000 -5.014 6.996
Rb Tb Tm Se
1 4 1 8
Direct
0.000 0.000 0.000
0.107 0.627 0.627
0.246 0.246 0.246
0.627 0.107 0.627
0.627 0.627 0.107
0.626 0.626 0.626
0.379 0.379 0.379
0.381 0.381 0.848
0.381 0.848 0.381
0.426 0.850 0.850
0.848 0.381 0.381
0.850 0.426 0.850
0.850 0.850 0.426
0.855 0.855 0.855
```

Properties
Total DFT energy (no corrections) (Ha/atom): -0.199
Calculated volume (Å³ per atom): 32.65
Energy relative to the elements, uncorrected (eV per atom): -1.7198
Crystal system: trigonal
Density of states at the Fermi level (states/eV per cell): 0.0